No. 1
Below is an optimized crystal structure of Ce8PC3Br4, with properties calculated at the PBE level.

Geometry as extended XYZ:
```
16
Lattice="3.826 2.209 7.413 -3.826 2.209 7.413 0.000 -4.417 7.413" Properties=species:S:1:pos:R:3 pbc="T T T"
Ce -2.038 -1.177 12.537
Ce 0.000 0.000 5.061
Ce 0.000 -2.353 9.702
Ce -2.038 1.177 9.702
Ce 2.038 -1.177 12.537
Ce 0.000 2.353 12.537
Ce 0.000 0.000 17.177
Ce 2.038 1.177 9.702
P 0.000 0.000 11.119
C -3.826 0.000 11.119
C -1.913 1.104 3.706
C 1.913 1.104 3.706
Br 0.000 0.000 0.000
Br -1.913 -1.104 7.413
Br -1.913 1.104 14.825
Br 0.000 2.209 7.413
```

***

No. 2
Below is an optimized crystal structure of CePmCBr, with properties calculated at the PBE level.

Geometry as extended XYZ:
```
4
Lattice="1.871 1.080 7.471 -1.871 1.080 7.471 0.000 -2.160 7.471" Properties=species:S:1:pos:R:3 pbc="T T T"
Ce 0.000 0.000 0.000
Pm 0.000 0.000 17.666
C 0.000 0.000 8.740
Br 0.000 0.000 12.520
```

***

No. 3
Below is an optimized crystal structure of CePuCBr, with properties calculated at the PBE level.

Geometry as extended XYZ:
```
4
Lattice="1.841 1.063 7.497 -1.841 1.063 7.497 0.000 -2.126 7.497" Properties=species:S:1:pos:R:3 pbc="T T T"
Ce 0.000 0.000 0.000
Pu 0.000 0.000 4.768
C 0.000 0.000 13.619
Br 0.000 0.000 17.421
```

***

No. 4
Below is an optimized crystal structure of Ce2PuC2Br2, with properties calculated at the PBE level.

Geometry as extended XYZ:
```
7
Lattice="-2.224 2.224 7.953 2.224 -2.224 7.953 2.224 2.224 -7.953" Properties=species:S:1:pos:R:3 pbc="T T T"
Ce 0.000 0.000 1.554
Ce 0.000 0.000 14.351
Pu 0.000 0.000 7.953
C 2.224 0.000 0.000
C 0.000 2.224 0.000
Br 0.000 0.000 4.983
Br 0.000 0.000 10.922
```

***

No. 5
Below is an optimized crystal structure of Ce6Ru2CBr3, with properties calculated at the PBE level.

Geometry as extended XYZ:
```
12
Lattice="3.412 -5.907 0.000 3.412 5.907 0.000 -2.257 0.000 7.634" Properties=species:S:1:pos:R:3 pbc="T T T"
Ce 1.064 1.830 1.438
Ce -0.157 0.000 6.172
Ce 1.064 -1.830 1.438
Ce 3.503 1.830 6.196
Ce 4.723 0.000 1.462
Ce 3.503 -1.830 6.196
Ru 3.412 1.958 0.000
Ru 3.412 -1.958 0.000
C 0.000 0.000 0.000
Br 2.283 3.875 3.817
Br 2.283 0.000 3.817
Br 2.283 -3.875 3.817
```

***

No. 6
Below is an optimized crystal structure of Ce4CSBr2, with properties calculated at the PBE level.

Geometry as extended XYZ:
```
8
Lattice="6.847 0.000 0.000 0.000 3.863 0.000 -2.189 0.000 7.275" Properties=species:S:1:pos:R:3 pbc="T T T"
Ce 1.010 0.000 1.391
Ce -0.090 1.932 5.808
Ce 4.747 1.932 1.467
Ce 3.648 0.000 5.884
C 0.000 1.932 0.000
S 3.423 0.000 0.000
Br -1.095 0.000 3.638
Br 2.329 1.932 3.638
```

***

No. 7
Below is an optimized crystal structure of Ce8CS3Br4, with properties calculated at the PBE level.

Geometry as extended XYZ:
```
16
Lattice="3.981 2.298 7.168 -3.981 2.298 7.168 0.000 -4.596 7.168" Properties=species:S:1:pos:R:3 pbc="T T T"
Ce 0.000 0.000 5.127
Ce -1.847 -1.066 12.203
Ce 0.000 -2.132 9.302
Ce -1.847 1.066 9.302
Ce 1.847 -1.066 12.203
Ce 0.000 2.132 12.203
Ce 1.847 1.066 9.302
Ce 0.000 0.000 16.378
C 0.000 0.000 10.752
S -3.981 0.000 10.752
S -1.990 1.149 3.584
S 1.990 1.149 3.584
Br 0.000 0.000 0.000
Br -1.990 -1.149 7.168
Br -1.990 1.149 14.337
Br 0.000 2.298 7.168
```

***

No. 8
Below is an optimized crystal structure of Ce8C3SBr4, with properties calculated at the PBE level.

Geometry as extended XYZ:
```
16
Lattice="3.810 2.200 7.383 -3.810 2.200 7.383 0.000 -4.400 7.383" Properties=species:S:1:pos:R:3 pbc="T T T"
Ce -2.020 -1.166 12.487
Ce 0.000 0.000 5.047
Ce 0.000 -2.332 9.662
Ce -2.020 1.166 9.662
Ce 2.020 -1.166 12.487
Ce 0.000 2.332 12.487
Ce 0.000 0.000 17.103
Ce 2.020 1.166 9.662
C -3.810 0.000 11.075
C -1.905 1.100 3.692
C 1.905 1.100 3.692
S 0.000 0.000 11.075
Br 0.000 0.000 0.000
Br -1.905 -1.100 7.383
Br -1.905 1.100 14.766
Br 0.000 2.200 7.383
```

***

No. 9
Below is an optimized crystal structure of Ce4CSeBr2, with properties calculated at the PBE level.

Geometry as extended XYZ:
```
8
Lattice="7.156 0.000 0.000 0.000 3.908 0.000 -2.168 0.000 7.193" Properties=species:S:1:pos:R:3 pbc="T T T"
Ce 1.003 0.000 1.393
Ce -0.109 1.954 5.685
Ce 5.097 1.954 1.508
Ce 3.985 0.000 5.800
C 0.000 1.954 0.000
Se 3.578 0.000 0.000
Br -1.084 0.000 3.596
Br 2.494 1.954 3.596
```

***

No. 10
Below is an optimized crystal structure of TbCe2C2Br2, with properties calculated at the PBE level.

Geometry as extended XYZ:
```
7
Lattice="-2.313 2.313 7.483 2.313 -2.313 7.483 2.313 2.313 -7.483" Properties=species:S:1:pos:R:3 pbc="T T T"
Tb 0.000 0.000 0.000
Ce 0.000 0.000 6.107
Ce 0.000 0.000 8.860
C 2.313 0.000 0.000
C 0.000 2.313 0.000
Br 0.000 0.000 2.928
Br 0.000 0.000 12.039
```

***

No. 11
Below is an optimized crystal structure of CeTmCBr, with properties calculated at the PBE level.

Geometry as extended XYZ:
```
4
Lattice="1.822 1.052 7.372 -1.822 1.052 7.372 0.000 -2.104 7.372" Properties=species:S:1:pos:R:3 pbc="T T T"
Ce 0.000 0.000 0.000
Tm 0.000 0.000 17.403
C 0.000 0.000 8.812
Br 0.000 0.000 4.811
```

***

No. 12
Below is an optimized crystal structure of CeYCBr, with properties calculated at the PBE level.

Geometry as extended XYZ:
```
4
Lattice="1.844 1.065 7.381 -1.844 1.065 7.381 0.000 -2.129 7.381" Properties=species:S:1:pos:R:3 pbc="T T T"
Ce 0.000 0.000 0.000
Y 0.000 0.000 17.425
C 0.000 0.000 8.695
Br 0.000 0.000 12.278
```

***

No. 13
Below is an optimized crystal structure of Cs2CBrCl6, with properties calculated at the PBE level.

Geometry as extended XYZ:
```
10
Lattice="-3.741 3.741 5.670 3.741 -3.741 5.670 3.741 3.741 -5.670" Properties=species:S:1:pos:R:3 pbc="T T T"
Cs 3.741 0.000 2.835
Cs 0.000 3.741 2.835
C 0.000 0.000 0.000
Br 0.000 0.000 5.670
Cl 1.394 1.394 0.000
Cl 2.348 -2.348 5.670
Cl 0.000 0.000 3.249
Cl 0.000 0.000 8.091
Cl -2.348 2.348 5.670
Cl 2.348 2.348 5.670
```

***

No. 14
Below is an optimized crystal structure of InCBr2Cl, with properties calculated at the PBE level.

Geometry as extended XYZ:
```
5
Lattice="6.638 0.000 0.000 0.000 6.638 0.000 0.000 0.000 3.441" Properties=species:S:1:pos:R:3 pbc="T T T"
In 0.000 0.000 0.000
C 3.319 3.319 0.000
Br 0.000 3.319 1.720
Br 3.319 0.000 1.720
Cl 3.319 3.319 1.720
```

***

No. 15
Below is an optimized crystal structure of La6C3BrCl2, with properties calculated at the PBE level.

Geometry as extended XYZ:
```
12
Lattice="9.326 -1.938 0.000 9.326 1.938 0.000 -3.308 0.000 8.046" Properties=species:S:1:pos:R:3 pbc="T T T"
La -0.466 0.000 1.723
La 4.469 0.000 3.609
La 3.530 0.000 7.117
La 11.814 0.000 0.929
La 10.875 0.000 4.438
La 15.810 0.000 6.323
C 2.015 0.000 2.672
C 9.326 0.000 0.000
C 13.329 0.000 5.374
Br 7.672 0.000 4.023
Cl 0.363 0.000 6.713
Cl 14.981 0.000 1.334
```

***

No. 16
Below is an optimized crystal structure of Nd8C3Br4Cl, with properties calculated at the PBE level.

Geometry as extended XYZ:
```
16
Lattice="3.908 2.256 7.371 -3.908 2.256 7.371 0.000 -4.513 7.371" Properties=species:S:1:pos:R:3 pbc="T T T"
Nd -2.108 -1.217 12.438
Nd 0.000 0.000 5.048
Nd 0.000 -2.434 9.674
Nd -2.108 1.217 9.674
Nd 2.108 -1.217 12.438
Nd 0.000 2.434 12.438
Nd 0.000 0.000 17.064
Nd 2.108 1.217 9.674
C -3.908 0.000 11.056
C -1.954 1.128 3.685
C 1.954 1.128 3.685
Br 0.000 0.000 0.000
Br -1.954 -1.128 7.371
Br -1.954 1.128 14.741
Br 0.000 2.256 7.371
Cl 0.000 0.000 11.056
```

***

No. 17
Below is an optimized crystal structure of Nd6C3BrCl2, with properties calculated at the PBE level.

Geometry as extended XYZ:
```
12
Lattice="9.090 -1.902 0.000 9.090 1.902 0.000 -3.150 0.000 7.865" Properties=species:S:1:pos:R:3 pbc="T T T"
Nd -0.431 0.000 1.681
Nd 4.385 0.000 3.536
Nd 3.514 0.000 6.951
Nd 11.517 0.000 0.914
Nd 10.646 0.000 4.329
Nd 15.462 0.000 6.184
C 1.984 0.000 2.614
C 9.090 0.000 0.000
C 13.047 0.000 5.251
Br 7.515 0.000 3.933
Cl 0.420 0.000 6.564
Cl 14.611 0.000 1.301
```

***

No. 18
Below is an optimized crystal structure of P2CBrCl, with properties calculated at the PBE level.

Geometry as extended XYZ:
```
5
Lattice="5.081 0.000 0.000 0.000 5.081 0.000 0.000 0.000 5.067" Properties=species:S:1:pos:R:3 pbc="T T T"
P 0.000 2.541 0.000
P 2.541 0.000 0.000
C 0.000 0.000 2.534
Br 2.541 2.541 0.000
Cl 2.541 2.541 2.534
```

***

No. 19
Below is an optimized crystal structure of PCBr2Cl, with properties calculated at the PBE level.

Geometry as extended XYZ:
```
5
Lattice="5.150 0.000 0.000 0.000 5.150 0.000 0.000 0.000 4.686" Properties=species:S:1:pos:R:3 pbc="T T T"
P 0.000 0.000 0.000
C 2.575 2.575 2.343
Br 0.000 2.575 0.000
Br 2.575 0.000 0.000
Cl 0.000 0.000 2.343
```

***

No. 20
Below is an optimized crystal structure of P2CBrCl, with properties calculated at the PBE level.

Geometry as extended XYZ:
```
5
Lattice="4.313 0.000 0.000 0.000 4.313 0.000 0.000 0.000 4.438" Properties=species:S:1:pos:R:3 pbc="T T T"
P 0.000 2.156 0.000
P 2.156 0.000 0.000
C 0.000 0.000 0.000
Br 2.156 2.156 2.219
Cl 0.000 0.000 2.219
```

***

No. 21
Below is an optimized crystal structure of Pm4CBr2Cl, with properties calculated at the PBE level.

Geometry as extended XYZ:
```
8
Lattice="7.057 0.000 0.000 0.000 3.885 0.000 -2.164 0.000 7.297" Properties=species:S:1:pos:R:3 pbc="T T T"
Pm 0.995 0.000 1.369
Pm -0.157 1.942 5.868
Pm 5.050 1.942 1.429
Pm 3.898 0.000 5.928
C 0.000 1.942 0.000
Br -1.082 0.000 3.648
Br 2.447 1.942 3.648
Cl 3.529 0.000 0.000
```

***

No. 22
Below is an optimized crystal structure of Pr8C3Br4Cl, with properties calculated at the PBE level.

Geometry as extended XYZ:
```
16
Lattice="3.939 2.274 7.445 -3.939 2.274 7.445 0.000 -4.549 7.445" Properties=species:S:1:pos:R:3 pbc="T T T"
Pr -2.126 -1.227 12.570
Pr 0.000 0.000 5.106
Pr 0.000 -2.455 9.766
Pr -2.126 1.227 9.766
Pr 2.126 -1.227 12.570
Pr 0.000 2.455 12.570
Pr 0.000 0.000 17.230
Pr 2.126 1.227 9.766
C -3.939 0.000 11.168
C -1.970 1.137 3.723
C 1.970 1.137 3.723
Br 0.000 0.000 0.000
Br -1.970 -1.137 7.445
Br -1.970 1.137 14.891
Br 0.000 2.274 7.445
Cl 0.000 0.000 11.168
```

***

No. 23
Below is an optimized crystal structure of Pr6C3BrCl2, with properties calculated at the PBE level.

Geometry as extended XYZ:
```
12
Lattice="9.184 -1.917 0.000 9.184 1.917 0.000 -3.211 0.000 7.936" Properties=species:S:1:pos:R:3 pbc="T T T"
Pr -0.445 0.000 1.699
Pr 4.420 0.000 3.565
Pr 3.521 0.000 7.017
Pr 11.635 0.000 0.919
Pr 10.735 0.000 4.371
Pr 15.600 0.000 6.237
C 1.995 0.000 2.637
C 9.184 0.000 0.000
C 13.160 0.000 5.299
Br 7.578 0.000 3.968
Cl 0.399 0.000 6.622
Cl 14.756 0.000 1.314
```

***

| no. | density of states at the Fermi level (states/eV/f.u.) | total magnetic moment (μB per atom) | E_form (uncorrected) (eV per atom) |
| --- | --- | --- | --- |
| 1 | 34.63 | 0.400 | -0.952 |
| 2 | 4.29 | 0.131 | -0.864 |
| 3 | 7.34 | 1.694 | -0.702 |
| 4 | 12.67 | 0.939 | -0.671 |
| 5 | 28.62 | 0.378 | -0.790 |
| 6 | 18.59 | 0.451 | -1.204 |
| 7 | 41.27 | 0.442 | -1.397 |
| 8 | 33.75 | 0.383 | -1.014 |
| 9 | 20.48 | 0.495 | -1.123 |
| 10 | 6.89 | 0.153 | -0.638 |
| 11 | 4.49 | 0.261 | -0.900 |
| 12 | 4.29 | 0.137 | -0.886 |
| 13 | 0.00 | 0.100 | -0.420 |
| 14 | 2.83 | 0.012 | 1.032 |
| 15 | 6.15 | 0.000 | -0.987 |
| 16 | 9.15 | 0.000 | -0.979 |
| 17 | 5.04 | 0.000 | -0.971 |
| 18 | 5.50 | 0.173 | 2.514 |
| 19 | 3.46 | 0.372 | 1.395 |
| 20 | 3.40 | 0.054 | 1.358 |
| 21 | 4.16 | 0.000 | -1.050 |
| 22 | 9.11 | 0.000 | -0.970 |
| 23 | 5.08 | 0.000 | -0.947 |